Compound: AlCoOF2
Source: Alexandria
Functional: PBE+U
Structure: relaxed

```
AlCoOF2
1.0
-0.746 3.654 -1.861
-3.072 0.755 2.714
2.410 1.647 2.269
F Co Al O
2 1 1 1
Direct
0.500 0.000 0.000
0.000 0.500 0.000
0.000 0.000 0.000
0.500 0.500 0.500
0.000 0.000 0.500
```

Computed properties:
**DOS at the Fermi energy**: 2.09 states/eV/f.u.
**Calculated volume**: 64 Å³/cell
**Size of the total moment**: 3.7 Bohr magnetons per cell
**Calculated total energy**: -4.73 eV per atom
**SG**: No. 123
**Offset from the most stable computed form**: 3.98 eV per formula unit
**Calculated density**: 3.62 g/cm3